Entry 1:
Below is an optimized crystal structure of Y2Al8Co, with properties calculated at the PBE level.

Output
As for the magnetic moment: 0.0000 μB/atom.

a b c (Å): 4.221 4.221 11.139
angles (deg): 90.00 90.00 90.00
Element x y z (fractional)
Y 0.000 0.000 0.307
Y 0.000 0.000 0.693
Al 0.000 0.500 0.500
Al 0.500 0.000 0.500
Al 0.500 0.500 0.306
Al 0.500 0.500 0.694
Al 0.000 0.500 0.116
Al 0.500 0.000 0.116
Al 0.000 0.500 0.884
Al 0.500 0.000 0.884
Co 0.000 0.000 0.000

Entry 2:
Below is an optimized crystal structure of Cs2SmBr5, with properties calculated at the PBE level.

Output
As for the raw formation energy: -181.7 kJ per mole of atoms. As for the magnetic moment: 0.0000 μB/atom.

a b c (Å): 8.047 10.355 16.331
angles (deg): 90.00 90.00 90.00
Element x y z (fractional)
Cs 0.750 0.537 0.295
Cs 0.250 0.463 0.705
Cs 0.250 0.963 0.795
Cs 0.750 0.037 0.205
Cs 0.750 0.825 0.587
Cs 0.250 0.175 0.413
Cs 0.250 0.675 0.087
Cs 0.750 0.325 0.913
Sm 0.750 0.812 0.937
Sm 0.250 0.188 0.063
Sm 0.250 0.688 0.437
Sm 0.750 0.312 0.563
Br 0.750 0.719 0.103
Br 0.250 0.281 0.897
Br 0.250 0.781 0.603
Br 0.750 0.219 0.397
Br 0.491 0.653 0.886
Br 0.509 0.347 0.114
Br 0.509 0.847 0.386
Br 0.991 0.347 0.114
Br 0.491 0.153 0.614
Br 0.009 0.653 0.886
Br 0.009 0.153 0.614
Br 0.991 0.847 0.386
Br 0.500 0.000 0.000
Br 0.500 0.500 0.500
Br 0.000 0.000 0.000
Br 0.000 0.500 0.500
Br 0.750 0.971 0.797
Br 0.250 0.029 0.203
Br 0.250 0.529 0.297
Br 0.750 0.471 0.703

Entry 3:
Below is an optimized crystal structure of TbDyTmZr, with properties calculated at the PBE level.

Output
As for the magnetic moment: 0.6402 μB/atom.

a b c (Å): 5.479 5.479 5.479
angles (deg): 60.00 60.00 60.00
Last column: magnetic moment on the atom in μB.
Element x y z (fractional)
Tm 0.500 0.500 0.500  0.37
Tb 0.750 0.750 0.750  0.16
Zr 0.250 0.250 0.250  0.87
Dy 0.000 0.000 0.000  0.38

Entry 4:
Below is an optimized crystal structure of Sn2PdRh3, with properties calculated at the PBE level.

Output
As for the magnetic moment: 0.0000 μB/atom.

a b c (Å): 4.188 7.370 7.630
angles (deg): 118.88 105.93 90.00
Element x y z (fractional)
Sn 0.344 0.344 0.688
Sn 0.656 0.156 0.312
Sn 0.344 0.844 0.688
Sn 0.656 0.656 0.312
Pd 0.000 0.500 0.000
Pd 0.000 0.000 0.000
Rh 0.500 0.250 0.000
Rh 0.500 0.750 0.000
Rh 0.828 0.078 0.656
Rh 0.172 0.422 0.344
Rh 0.172 0.922 0.344
Rh 0.828 0.578 0.656

Entry 5:
Below is an optimized crystal structure of Tb3Nd12Ho, with properties calculated at the PBE level.

Output
As for the magnetic moment: 0.0000 μB/atom.

a b c (Å): 5.161 5.161 20.596
angles (deg): 90.00 90.00 90.00
Element x y z (fractional)
Tb 0.000 0.000 0.250
Tb 0.000 0.000 0.500
Tb 0.000 0.000 0.750
Nd 0.500 0.500 0.000
Nd 0.500 0.500 0.250
Nd 0.500 0.500 0.500
Nd 0.500 0.500 0.750
Nd 0.500 0.000 0.125
Nd 0.500 0.000 0.375
Nd 0.500 0.000 0.625
Nd 0.500 0.000 0.875
Nd 0.000 0.500 0.125
Nd 0.000 0.500 0.375
Nd 0.000 0.500 0.625
Nd 0.000 0.500 0.875
Ho 0.000 0.000 0.000

no.,electronic total energy (eV/atom)
1,-4.994
2,-3.732
3,-5.351
4,-6.219
5,-4.717